[1]
The following is a DFT calculation (PBE) of a relaxed structure of InOs2Rh.

SG ... Pmmm (47)
Formation energy from the elements ... 0.4574 eV per atom
Calculated volume ... 63.2 Å³ per cell

Unit cell a=2.886 b=4.589 c=4.776 alpha=90.00 beta=90.00 gamma=90.00
Fractional coordinates of all 4 atoms:
In 0.000 0.500 0.500
Os 0.000 0.000 0.000
Os 0.500 0.500 0.000
Rh 0.500 0.000 0.500

[2]
The following is a DFT calculation (PBE) of a relaxed structure of InOsRh3.

Excess energy over the best structure of this formula in the dataset ... 0 meV per atom
SG ... Pm-3m (221)
Formation energy from the elements ... 1.0416 eV per atom
Calculated volume ... 106.2 Å³ per cell

Unit cell a=4.736 b=4.736 c=4.736 alpha=90.00 beta=90.00 gamma=90.00
Fractional coordinates of all 5 atoms:
Rh 0.000 0.500 0.000
Rh 0.000 0.000 0.500
Rh 0.500 0.000 0.000
Os 0.000 0.000 0.000
In 0.500 0.500 0.500